[1]
DFT (PBE) results for an optimized crystal structure of Rb3Mn2CuBr9.

Calculated values
DOS at the Fermi energy = 1.8 states/eV/cell
raw formation energy = -1.075 eV per atom
space-group type = P-3m1
E_tot = -3.77 eV per atom
M_tot = 9.000 Bohr magnetons per cell

Cell: 7.4970 7.4970 9.1844 Å, 90.00 90.00 120.00°
Atoms (fractional coordinates):
Rb 0.0000 0.0000 0.0000
Rb 0.3333 0.6667 0.6634
Rb 0.6667 0.3333 0.3366
Mn 0.3333 0.6667 0.1750
Mn 0.6667 0.3333 0.8250
Cu 0.0000 0.0000 0.5000
Br 0.0000 0.5000 0.0000
Br 0.1668 0.3335 0.3327
Br 0.1668 0.8332 0.3327
Br 0.3335 0.1668 0.6673
Br 0.5000 0.0000 0.0000
Br 0.5000 0.5000 0.0000
Br 0.6665 0.8332 0.3327
Br 0.8332 0.1668 0.6673
Br 0.8332 0.6665 0.6673

[2]
DFT (PBE) results for an optimized crystal structure of Pu2ZnCr.

Calculated values
DOS at the Fermi energy = 8.7 states/eV/cell
excess energy over the best structure of this formula in the dataset = 0 meV/atom
space-group type = P4/mmm
E_tot = -9.74 eV per atom
energy of formation = 0.152 eV per atom
M_tot = 7.811 Bohr magnetons per cell

Cell: 4.2474 4.2474 4.3412 Å, 90.00 90.00 90.00°
Atoms (fractional coordinates):
Pu 0.0000 0.5000 0.0000
Pu 0.5000 0.0000 0.0000
Zn 0.0000 0.0000 0.5000
Cr 0.5000 0.5000 0.5000